1.
# CaAg2As2, single point on PBEsol structure, DFT meta-GGA SCAN
data_CaAg2As2
_chemical_formula_sum 'Ca2 Ag4 As4'
_cell_length_a 4.158
_cell_length_b 4.158
_cell_length_c 11.813
_cell_angle_alpha 90.00
_cell_angle_beta 90.00
_cell_angle_gamma 90.00
_symmetry_space_group_name_H-M 'I 4/m m m'
_symmetry_Int_Tables_number 139
_symmetry_space_group_name_Hall '-I 4 2'
loop_
_atom_site_label
_atom_site_fract_x
_atom_site_fract_y
_atom_site_fract_z
Ca1 0.000 0.000 0.000
Ag1 0.000 0.500 0.250
As1 0.000 0.000 0.392
# - V: 204.2 Å³ per cell
# - Magnetization: 0.00 μB/f.u.
# - Final energy: -23.01 eV per atom

---

2.
# LiCaAgAs2, single point on PBEsol structure, DFT meta-GGA SCAN
data_LiCaAgAs2
_chemical_formula_sum 'Li1 Ca1 Ag1 As2'
_cell_length_a 5.232
_cell_length_b 5.232
_cell_length_c 5.032
_cell_angle_alpha 90.00
_cell_angle_beta 90.00
_cell_angle_gamma 90.00
_symmetry_space_group_name_H-M 'P 4/m m m'
_symmetry_Int_Tables_number 123
_symmetry_space_group_name_Hall '-P 4 2'
loop_
_atom_site_label
_atom_site_fract_x
_atom_site_fract_y
_atom_site_fract_z
Li1 0.000 0.000 0.000
Ca1 0.000 0.000 0.500
Ag1 0.500 0.500 0.000
As1 0.000 0.500 0.500
# - V: 137.7 Å³ per cell
# - Magnetization: 0.00 μB/f.u.
# - Final energy: -16.13 eV per atom

---

3.
# CdAg2As, single point on PBEsol structure, DFT meta-GGA SCAN
data_CdAg2As
_chemical_formula_sum 'Cd2 Ag4 As2'
_cell_length_a 9.768
_cell_length_b 2.939
_cell_length_c 5.080
_cell_angle_alpha 90.00
_cell_angle_beta 98.93
_cell_angle_gamma 90.00
_symmetry_space_group_name_H-M 'C 1 m 1'
_symmetry_Int_Tables_number 8
loop_
_symmetry_equiv_pos_as_xyz
'x,y,z'
'x,-y,z'
'x+1/2,y+1/2,z'
'x+1/2,-y+1/2,z'
loop_
_atom_site_label
_atom_site_fract_x
_atom_site_fract_y
_atom_site_fract_z
Cd1 0.000 0.000 0.000
Ag1 0.006 0.500 0.510
Ag2 0.250 0.000 0.761
As1 0.259 0.500 0.281
# - V: 144.1 Å³ per cell
# - Relative energy among the computed polymorphs: 24.4 meV/atom
# - Magnetization: 0.00 μB/f.u.
# - Final energy: -28.24 eV per atom

---

4.
# CdAg2As2, single point on PBEsol structure, DFT meta-GGA SCAN
data_CdAg2As2
_chemical_formula_sum 'Cd2 Ag4 As4'
_cell_length_a 3.780
_cell_length_b 3.780
_cell_length_c 13.736
_cell_angle_alpha 90.00
_cell_angle_beta 90.00
_cell_angle_gamma 90.00
_symmetry_space_group_name_H-M 'I 4/m m m'
_symmetry_Int_Tables_number 139
_symmetry_space_group_name_Hall '-I 4 2'
loop_
_atom_site_label
_atom_site_fract_x
_atom_site_fract_y
_atom_site_fract_z
Cd1 0.000 0.000 0.000
Ag1 0.000 0.000 0.403
As1 0.000 0.500 0.250
# - V: 196.3 Å³ per cell
# - Magnetization: 0.00 μB/f.u.
# - Final energy: -26.51 eV per atom

---

5.
# CdAg2As, single point on PBEsol structure, DFT meta-GGA SCAN
data_CdAg2As
_chemical_formula_sum 'Cd4 Ag8 As4'
_cell_length_a 6.647
_cell_length_b 6.647
_cell_length_c 6.647
_cell_angle_alpha 90.00
_cell_angle_beta 90.00
_cell_angle_gamma 90.00
_symmetry_space_group_name_H-M 'F -4 3 m'
_symmetry_Int_Tables_number 216
_symmetry_space_group_name_Hall 'F -4 2 3'
loop_
_atom_site_label
_atom_site_fract_x
_atom_site_fract_y
_atom_site_fract_z
Cd1 0.000 0.000 0.000
Ag1 0.000 0.000 0.500
Ag2 0.250 0.250 0.750
As1 0.250 0.250 0.250
# - V: 293.7 Å³ per cell
# - Relative energy among the computed polymorphs: 87.3 meV/atom
# - Magnetization: 0.00 μB/f.u.
# - Final energy: -28.18 eV per atom

---

6.
# CdAg2As, single point on PBEsol structure, DFT meta-GGA SCAN
data_CdAg2As
_chemical_formula_sum 'Cd2 Ag4 As2'
_cell_length_a 4.120
_cell_length_b 4.120
_cell_length_c 8.463
_cell_angle_alpha 90.00
_cell_angle_beta 90.00
_cell_angle_gamma 90.00
_symmetry_space_group_name_H-M 'I 4/m m m'
_symmetry_Int_Tables_number 139
_symmetry_space_group_name_Hall '-I 4 2'
loop_
_atom_site_label
_atom_site_fract_x
_atom_site_fract_y
_atom_site_fract_z
Cd1 0.000 0.000 0.000
Ag1 0.000 0.500 0.250
As1 0.000 0.000 0.500
# - V: 143.7 Å³ per cell
# - Relative energy among the computed polymorphs: 0.0 meV/atom
# - Magnetization: 0.00 μB/f.u.
# - Final energy: -28.26 eV per atom